Density functional theory data (PBE-GGA) for a relaxed Sm4DyTl crystal.

The structure belongs to space group C2/c (No. 15); the cell edges are 8.855, 14.285 and 6.553 Å and the angles 90.00°, 109.39° and 90.00°. The distinct sites, in fractional coordinates, are Sm at (0.096, 0.190, 0.043), Sm at (0.214, 0.378, 0.379), Dy at (0.000, 0.411, 0.750) and Tl at (0.000, 0.000, 0.250).

For the distance to the lowest polymorph of the same formula, the calculation gives 0.08 eV/f.u.

Density functional theory data (PBE-GGA) for a relaxed Tb7Zn2Ag2 crystal.

The structure belongs to space group Cmmm (No. 65); the cell edges are 7.449, 10.873 and 7.679 Å and the angles 90.00°, 90.00° and 90.00°. The distinct sites, in fractional coordinates, are Tb at (0.000, 0.000, 0.000), Tb at (0.000, 0.500, 0.256), Tb at (0.250, 0.250, 0.281), Zn at (0.000, 0.292, 0.000) and Ag at (0.182, 0.000, 0.500).

Density functional theory data (PBE-GGA) for a relaxed NaMg3Os crystal.

The structure belongs to space group Pm-3m (No. 221); the cell edges are 5.076, 5.076 and 5.076 Å and the angles 90.00°, 90.00° and 90.00°. The distinct sites, in fractional coordinates, are Na at (0.000, 0.000, 0.000), Mg at (0.000, 0.500, 0.500) and Os at (0.500, 0.500, 0.500).

For the distance to the lowest polymorph of the same formula, the calculation gives 0.00 eV/f.u.

Energy for the records above, in order: -4.327, -3.664, -3.089 eV/atom